(1)
An optimized crystal structure of SrAc2Gd. Source: Alexandria, functional PBE-GGA.

Output
Its formation energy is 56.4 meV/atom. The value obtained for the excess energy over the best structure of this formula in the dataset is 0 meV/atom.

Unit cell a=3.9528 b=3.9528 c=11.0862 alpha=90.00 beta=90.00 gamma=90.00
Last column: nearest neighbours and their distance in Å.
Fractional coordinates of all 4 atoms:
Sr (0.0000, 0.0000, 0.0000)  4 Sr 3.95, 8 Ac 4.14
Ac (0.5000, 0.5000, 0.2755)  4 Gd 3.74, 4 Ac 3.95, 4 Sr 4.14
Ac (0.5000, 0.5000, 0.7245)  4 Gd 3.74, 4 Ac 3.95, 4 Sr 4.14
Gd (0.0000, 0.0000, 0.5000)  8 Ac 3.74, 4 Gd 3.95



(2)
An optimized crystal structure of SrAc2Gd. Source: Alexandria, functional PBE-GGA.

Output
Its formation energy is 159.0 meV/atom. The value obtained for the excess energy over the best structure of this formula in the dataset is 103 meV/atom.

Unit cell a=13.8678 b=13.8678 c=13.8678 alpha=16.06 beta=16.06 gamma=16.06
Last column: nearest neighbours and their distance in Å.
Fractional coordinates of all 4 atoms:
Sr (0.0000, 0.0000, 0.0000)  2 Ac 3.84, 6 Sr 3.87
Ac (0.0936, 0.0936, 0.0936)  3 Gd 3.74, 1 Sr 3.84, 6 Ac 3.87
Ac (0.9064, 0.9064, 0.9064)  3 Gd 3.74, 1 Sr 3.84, 6 Ac 3.87
Gd (0.5000, 0.5000, 0.5000)  6 Ac 3.74, 6 Gd 3.87



(3)
An optimized crystal structure of Sr2AcGd. Source: Alexandria, functional PBE-GGA.

Output
Its formation energy is 280.2 meV/atom. The value obtained for the excess energy over the best structure of this formula in the dataset is 118 meV/atom.

Unit cell a=14.1843 b=14.1843 c=14.1843 alpha=15.69 beta=15.69 gamma=15.69
Last column: nearest neighbours and their distance in Å.
Fractional coordinates of all 4 atoms:
Sr (0.0854, 0.0854, 0.0854)  1 Gd 3.59, 6 Sr 3.87
Sr (0.9146, 0.9146, 0.9146)  1 Gd 3.59, 6 Sr 3.87
Ac (0.5000, 0.5000, 0.5000)  6 Ac 3.87, 6 Sr 4.08
Gd (0.0000, 0.0000, 0.0000)  2 Sr 3.59, 6 Gd 3.87



(4)
An optimized crystal structure of SrAc2Gd. Source: Alexandria, functional PBE-GGA.

Output
Its formation energy is 143.1 meV/atom. The value obtained for the excess energy over the best structure of this formula in the dataset is 87 meV/atom.

Unit cell a=6.2507 b=6.2507 c=6.2507 alpha=60.00 beta=60.00 gamma=60.00
Last column: nearest neighbours and their distance in Å.
Fractional coordinates of all 4 atoms:
Sr (0.0000, 0.0000, 0.0000)  8 Ac 3.83
Ac (0.2500, 0.2500, 0.2500)  4 Gd 3.83, 4 Sr 3.83
Ac (0.7500, 0.7500, 0.7500)  4 Gd 3.83, 4 Sr 3.83
Gd (0.5000, 0.5000, 0.5000)  8 Ac 3.83



(5)
An optimized crystal structure of SrAcTbGd. Source: Alexandria, functional PBE-GGA.

Output
Its formation energy is 195.2 meV/atom.

Unit cell a=6.0674 b=6.0674 c=6.0674 alpha=60.00 beta=60.00 gamma=60.00
Last column: nearest neighbours and their distance in Å.
Fractional coordinates of all 4 atoms:
Sr (0.0000, 0.0000, 0.0000)  4 Gd 3.72, 4 Ac 3.72
Ac (0.2500, 0.2500, 0.2500)  4 Tb 3.72, 4 Sr 3.72
Tb (0.5000, 0.5000, 0.5000)  4 Gd 3.72, 4 Ac 3.72
Gd (0.7500, 0.7500, 0.7500)  4 Tb 3.72, 4 Sr 3.72



(6)
An optimized crystal structure of AcTbGd. Source: Alexandria, functional PBE-GGA.

Output
Its formation energy is 48.6 meV/atom. The value obtained for the excess energy over the best structure of this formula in the dataset is 0 meV/atom.

Unit cell a=8.1242 b=8.1242 c=8.1242 alpha=153.23 beta=153.23 gamma=38.22
Last column: nearest neighbours and their distance in Å.
Fractional coordinates of all 3 atoms:
Ac (0.0000, 0.0000, 0.0000)  4 Tb 3.73, 4 Ac 3.76, 4 Gd 3.78
Tb (0.6706, 0.6706, 0.0000)  4 Gd 3.57, 4 Ac 3.73, 4 Tb 3.76
Gd (0.3254, 0.3254, 0.0000)  4 Tb 3.57, 4 Gd 3.76, 4 Ac 3.78



(7)
An optimized crystal structure of Ac4TbGd. Source: Alexandria, functional PBE-GGA.

Output
Its formation energy is 358.7 meV/atom.

Unit cell a=7.1616 b=7.1616 c=7.1616 alpha=60.00 beta=60.00 gamma=60.00
Last column: nearest neighbours and their distance in Å.
Fractional coordinates of all 6 atoms:
Ac (0.1246, 0.1246, 0.1246)  6 Ac 3.57-3.59
Ac (0.1246, 0.1246, 0.6262)  6 Ac 3.57-3.59
Ac (0.1246, 0.6262, 0.1246)  6 Ac 3.57-3.59
Ac (0.6262, 0.1246, 0.1246)  6 Ac 3.57-3.59
Tb (0.7500, 0.7500, 0.7500)  12 Ac 4.20, 4 Gd 4.39
Gd (0.5000, 0.5000, 0.5000)  12 Ac 4.20, 4 Tb 4.39



(8)
An optimized crystal structure of AcTbGd2. Source: Alexandria, functional PBE-GGA.

Output
Its formation energy is 168.9 meV/atom. The value obtained for the excess energy over the best structure of this formula in the dataset is 126 meV/atom.

Unit cell a=12.8919 b=12.8919 c=12.8919 alpha=16.10 beta=16.10 gamma=16.10
Last column: nearest neighbours and their distance in Å.
Fractional coordinates of all 4 atoms:
Ac (0.0000, 0.0000, 0.0000)  2 Gd 3.53, 6 Ac 3.61
Tb (0.5000, 0.5000, 0.5000)  6 Gd 3.52, 6 Tb 3.61
Gd (0.0925, 0.0925, 0.0925)  3 Tb 3.52, 1 Ac 3.53, 6 Gd 3.61
Gd (0.9075, 0.9075, 0.9075)  3 Tb 3.52, 1 Ac 3.53, 6 Gd 3.61



(9)
An optimized crystal structure of AcTb2Gd. Source: Alexandria, functional PBE-GGA.

Output
Its formation energy is 186.3 meV/atom. The value obtained for the excess energy over the best structure of this formula in the dataset is 143 meV/atom.

Unit cell a=12.9083 b=12.9083 c=12.9083 alpha=16.01 beta=16.01 gamma=16.01
Last column: nearest neighbours and their distance in Å.
Fractional coordinates of all 4 atoms:
Ac (0.0000, 0.0000, 0.0000)  2 Tb 3.53, 6 Ac 3.60
Tb (0.0923, 0.0923, 0.0923)  3 Gd 3.52, 1 Ac 3.53, 6 Tb 3.60
Tb (0.9077, 0.9077, 0.9077)  3 Gd 3.52, 1 Ac 3.53, 6 Tb 3.60
Gd (0.5000, 0.5000, 0.5000)  6 Tb 3.52, 6 Gd 3.60



(10)
An optimized crystal structure of AcTb2Gd. Source: Alexandria, functional PBE-GGA.

Output
Its formation energy is 123.0 meV/atom. The value obtained for the excess energy over the best structure of this formula in the dataset is 79 meV/atom.

Unit cell a=5.8518 b=5.8518 c=5.8518 alpha=60.00 beta=60.00 gamma=60.00
Last column: nearest neighbours and their distance in Å.
Fractional coordinates of all 4 atoms:
Ac (0.0000, 0.0000, 0.0000)  8 Tb 3.58
Tb (0.2500, 0.2500, 0.2500)  4 Gd 3.58, 4 Ac 3.58
Tb (0.7500, 0.7500, 0.7500)  4 Gd 3.58, 4 Ac 3.58
Gd (0.5000, 0.5000, 0.5000)  8 Tb 3.58



(11)
An optimized crystal structure of AcTb2Gd. Source: Alexandria, functional PBE-GGA.

Output
Its formation energy is 54.8 meV/atom. The value obtained for the excess energy over the best structure of this formula in the dataset is 11 meV/atom.

Unit cell a=3.7222 b=3.7222 c=10.1431 alpha=90.00 beta=90.00 gamma=90.00
Last column: nearest neighbours and their distance in Å.
Fractional coordinates of all 4 atoms:
Ac (0.0000, 0.0000, 0.0000)  4 Ac 3.72, 8 Tb 3.75
Tb (0.5000, 0.5000, 0.2630)  4 Gd 3.56, 4 Tb 3.72, 4 Ac 3.75
Tb (0.5000, 0.5000, 0.7370)  4 Gd 3.56, 4 Tb 3.72, 4 Ac 3.75
Gd (0.0000, 0.0000, 0.5000)  8 Tb 3.56, 4 Gd 3.72



(12)
An optimized crystal structure of AcTbGd2. Source: Alexandria, functional PBE-GGA.

Output
Its formation energy is 48.3 meV/atom. The value obtained for the excess energy over the best structure of this formula in the dataset is 5 meV/atom.

Unit cell a=3.7094 b=3.7094 c=10.2686 alpha=90.00 beta=90.00 gamma=90.00
Last column: nearest neighbours and their distance in Å.
Fractional coordinates of all 4 atoms:
Ac (0.0000, 0.0000, 0.0000)  4 Ac 3.71, 8 Gd 3.78
Tb (0.0000, 0.0000, 0.5000)  8 Gd 3.57, 4 Tb 3.71
Gd (0.5000, 0.5000, 0.2647)  4 Tb 3.57, 4 Gd 3.71, 4 Ac 3.78
Gd (0.5000, 0.5000, 0.7353)  4 Tb 3.57, 4 Gd 3.71, 4 Ac 3.78



(13)
An optimized crystal structure of AcTbGd2. Source: Alexandria, functional PBE-GGA.

Output
Its formation energy is 43.2 meV/atom. The value obtained for the excess energy over the best structure of this formula in the dataset is 0 meV/atom.

Unit cell a=5.1979 b=5.1979 c=5.2087 alpha=90.00 beta=90.00 gamma=90.00
Last column: nearest neighbours and their distance in Å.
Fractional coordinates of all 4 atoms:
Ac (0.0000, 0.0000, 0.0000)  4 Tb 3.68, 8 Gd 3.68
Tb (0.5000, 0.5000, 0.0000)  4 Ac 3.68, 8 Gd 3.68
Gd (0.0000, 0.5000, 0.5000)  4 Gd 3.68, 4 Tb 3.68, 4 Ac 3.68
Gd (0.5000, 0.0000, 0.5000)  4 Gd 3.68, 4 Tb 3.68, 4 Ac 3.68



(14)
An optimized crystal structure of AcTb2Gd. Source: Alexandria, functional PBE-GGA.

Output
Its formation energy is 43.5 meV/atom. The value obtained for the excess energy over the best structure of this formula in the dataset is 0 meV/atom.

Unit cell a=5.2062 b=5.2062 c=5.1695 alpha=90.00 beta=90.00 gamma=90.00
Last column: nearest neighbours and their distance in Å.
Fractional coordinates of all 4 atoms:
Ac (0.0000, 0.0000, 0.0000)  8 Tb 3.67, 4 Gd 3.68
Tb (0.0000, 0.5000, 0.5000)  4 Gd 3.67, 4 Ac 3.67, 4 Tb 3.68
Tb (0.5000, 0.0000, 0.5000)  4 Gd 3.67, 4 Ac 3.67, 4 Tb 3.68
Gd (0.5000, 0.5000, 0.0000)  8 Tb 3.67, 4 Ac 3.68



(15)
An optimized crystal structure of AcTbGd2. Source: Alexandria, functional PBE-GGA.

Output
Its formation energy is 116.1 meV/atom. The value obtained for the excess energy over the best structure of this formula in the dataset is 73 meV/atom.

Unit cell a=5.8533 b=5.8533 c=5.8533 alpha=60.00 beta=60.00 gamma=60.00
Last column: nearest neighbours and their distance in Å.
Fractional coordinates of all 4 atoms:
Ac (0.0000, 0.0000, 0.0000)  8 Gd 3.58
Tb (0.5000, 0.5000, 0.5000)  8 Gd 3.58
Gd (0.2500, 0.2500, 0.2500)  4 Tb 3.58, 4 Ac 3.58
Gd (0.7500, 0.7500, 0.7500)  4 Tb 3.58, 4 Ac 3.58



(16)
An optimized crystal structure of AcTbGd. Source: Alexandria, functional PBE-GGA.

Output
Its formation energy is 53.3 meV/atom. The value obtained for the excess energy over the best structure of this formula in the dataset is 5 meV/atom.

Unit cell a=3.7469 b=3.7469 c=8.9519 alpha=90.00 beta=90.00 gamma=120.00
Last column: nearest neighbours and their distance in Å.
Fractional coordinates of all 3 atoms:
Ac (0.0000, 0.0000, 0.0000)  3 Tb 3.73, 6 Ac 3.75, 3 Gd 3.76
Tb (0.6667, 0.3333, 0.3398)  3 Gd 3.56, 3 Ac 3.73, 6 Tb 3.75
Gd (0.3333, 0.6667, 0.6561)  3 Tb 3.56, 6 Gd 3.75, 3 Ac 3.76